# CsTlB2I8 | Alexandria via LeMat-Bulk | PBE | relaxed
data_CsTlB2I8
_cell_length_a 7.4071
_cell_length_b 7.4071
_cell_length_c 33.3876
_cell_angle_alpha 90.00
_cell_angle_beta 90.00
_cell_angle_gamma 120.00
_space_group_name_H-M_alt 'R -3'
_space_group_IT_number 148
_space_group_name_Hall '-R 3'
loop_
_atom_site_label
_atom_site_type_symbol
_atom_site_fract_x
_atom_site_fract_y
_atom_site_fract_z
Cs1 Cs 0.0000 0.0000 0.0000
Tl1 Tl 0.0000 0.0000 0.5000
B1 B 0.0000 0.0000 0.2537
I1 I 0.0000 0.0000 0.3212
I2 I 0.0228 0.4050 0.4351
# - V: 44.07 A^3/atom
# - Total energy: -2.82 eV per atom